Record 1
# RbAs2Pb2Se6

A geometry-optimized RbAs2Pb2Se6 structure (PBE-GGA, Alexandria via LeMat-Bulk).

Lattice parameters (Å, degrees): 7.227 7.942 9.302 95.01 112.02 116.76
Space group P-1 (No. 2)
Inequivalent atoms, fractional coordinates:
1 Rb 0.000 0.000 0.000 (multiplicity 1)
2 As 0.132 0.604 0.649 (multiplicity 2)
3 Pb 0.412 0.324 0.663 (multiplicity 2)
4 Se 0.047 0.865 0.630 (multiplicity 2)
5 Se 0.304 0.465 0.921 (multiplicity 2)
6 Se 0.494 0.720 0.639 (multiplicity 2)

The energy relative to the elements, uncorrected is -0.370 eV per atom.

Record 2
# RbAsPbSe2

A geometry-optimized RbAsPbSe2 structure (PBE-GGA, Alexandria via LeMat-Bulk).

Lattice parameters (Å, degrees): 5.684 5.684 5.534 90.00 90.00 90.00
Space group P4/mmm (No. 123)
Inequivalent atoms, fractional coordinates:
1 Rb 0.000 0.000 0.000 (multiplicity 1)
2 As 0.500 0.500 0.000 (multiplicity 1)
3 Pb 0.500 0.500 0.500 (multiplicity 1)
4 Se 0.000 0.500 0.500 (multiplicity 2)

The energy relative to the elements, uncorrected is 0.045 eV per atom. For the energy above the most stable polymorph in this dataset, the calculation gives 0.000 eV per formula unit.

Record 3
# RbSnAs2Pb

A geometry-optimized RbSnAs2Pb structure (PBE-GGA, Alexandria via LeMat-Bulk).

Lattice parameters (Å, degrees): 18.256 4.518 9.854 90.00 122.46 90.00
Space group C2/m (No. 12)
Inequivalent atoms, fractional coordinates:
1 Rb 0.128 0.000 0.470 (multiplicity 4)
2 Sn 0.113 0.500 0.133 (multiplicity 4)
3 As 0.026 0.500 0.807 (multiplicity 4)
4 As 0.220 0.000 0.217 (multiplicity 4)
5 Pb 0.150 0.000 0.881 (multiplicity 4)

The value obtained for the formation energy is -220 meV per atom.

Record 4
# Rb2VAsPb

A geometry-optimized Rb2VAsPb structure (PBE-GGA, Alexandria via LeMat-Bulk).

Lattice parameters (Å, degrees): 6.875 6.875 5.215 90.00 90.00 90.00
Space group P4/mmm (No. 123)
Inequivalent atoms, fractional coordinates:
1 Rb 0.000 0.500 0.000 (multiplicity 2)
2 V 0.000 0.000 0.500 (multiplicity 1)
3 As 0.500 0.500 0.500 (multiplicity 1)
4 Pb 0.000 0.000 0.000 (multiplicity 1)

The value obtained for the formation energy is 901 meV per atom.

Record 5
# RbYAsPb2

A geometry-optimized RbYAsPb2 structure (PBE-GGA, Alexandria via LeMat-Bulk).

Lattice parameters (Å, degrees): 5.850 5.850 6.370 90.00 90.00 90.00
Space group P4/mmm (No. 123)
Inequivalent atoms, fractional coordinates:
1 Rb 0.000 0.000 0.000 (multiplicity 1)
2 Y 0.000 0.000 0.500 (multiplicity 1)
3 As 0.500 0.500 0.000 (multiplicity 1)
4 Pb 0.000 0.500 0.500 (multiplicity 2)

The value obtained for the formation energy is 761 meV per atom.

Record 6
# RbZr2AsPb

A geometry-optimized RbZr2AsPb structure (PBE-GGA, Alexandria via LeMat-Bulk).

Lattice parameters (Å, degrees): 5.580 5.580 5.819 90.00 90.00 90.00
Space group P4/mmm (No. 123)
Inequivalent atoms, fractional coordinates:
1 Rb 0.000 0.000 0.000 (multiplicity 1)
2 Zr 0.000 0.500 0.500 (multiplicity 2)
3 As 0.500 0.500 0.000 (multiplicity 1)
4 Pb 0.500 0.500 0.500 (multiplicity 1)

The value obtained for the formation energy is 1022 meV per atom.